A plane-wave DFT calculation with PBE-GGA was carried out for crystalline Rb2NaMgP2 at its relaxed geometry.

Cell and atoms, written as CIF:
```
data_Rb2NaMgP2
_chemical_formula_sum 'Rb8 Na4 Mg4 P8'
_cell_length_a 6.837
_cell_length_b 15.758
_cell_length_c 6.574
_cell_angle_alpha 90.00
_cell_angle_beta 90.00
_cell_angle_gamma 90.00
_space_group_name_H-M_alt 'I b a m'
_space_group_IT_number 72
_space_group_name_Hall '-I 2 2c'
loop_
_atom_site_label
_atom_site_type_symbol
_atom_site_fract_x
_atom_site_fract_y
_atom_site_fract_z
Rb1 Rb 0.236 0.176 0.000
Na1 Na 0.000 0.000 0.250
Mg1 Mg 0.000 0.500 0.250
P1 P 0.216 0.407 0.000
```

=====

A plane-wave DFT calculation with PBE-GGA was carried out for crystalline NaMgPRu2 at its relaxed geometry.

Cell and atoms, written as CIF:
```
data_NaMgPRu2
_chemical_formula_sum 'Na1 Mg1 P1 Ru2'
_cell_length_a 4.425
_cell_length_b 4.425
_cell_length_c 4.813
_cell_angle_alpha 90.00
_cell_angle_beta 90.00
_cell_angle_gamma 90.00
_space_group_name_H-M_alt 'P 4/m m m'
_space_group_IT_number 123
_space_group_name_Hall '-P 4 2'
loop_
_atom_site_label
_atom_site_type_symbol
_atom_site_fract_x
_atom_site_fract_y
_atom_site_fract_z
Na1 Na 0.000 0.000 0.000
Mg1 Mg 0.500 0.500 0.000
P1 P 0.500 0.500 0.500
Ru1 Ru 0.000 0.500 0.500
```

=====

Magnetic moment / μB/atom: 0.17 0.18
Calculated formation energy / eV per atom: -0.370 0.197
N(E_F) / states/eV/f.u.: 4.07 4.50